(1)
Density functional theory data (PBE) for a relaxed PrTlCdTe3 crystal.

Summary:
E above lowest polymorph = 0.00 kJ/mol of atoms
Spin magnetization = 0.0 μB per formula unit
Crystal system = orthorhombic

```
data_PrTlCdTe3
_chemical_formula_sum 'Pr4 Tl4 Cd4 Te12'
_symmetry_space_group_name_H-M 'P 1'
_symmetry_Int_Tables_number 1
_cell_length_a 12.0205
_cell_length_b 4.5604
_cell_length_c 15.4747
_cell_angle_alpha 90.00
_cell_angle_beta 90.00
_cell_angle_gamma 90.00
loop_
_symmetry_equiv_pos_as_xyz
'x,y,z'
loop_
_atom_site_label
_atom_site_type_symbol
_atom_site_fract_x
_atom_site_fract_y
_atom_site_fract_z
Pr1 Pr 0.0084 0.2500 0.2473
Pr2 Pr 0.4916 0.7500 0.7473
Pr3 Pr 0.5084 0.2500 0.2527
Pr4 Pr 0.9916 0.7500 0.7527
Tl1 Tl 0.2364 0.7500 0.5105
Tl2 Tl 0.2636 0.2500 0.0105
Tl3 Tl 0.7364 0.7500 0.9895
Tl4 Tl 0.7636 0.2500 0.4895
Cd1 Cd 0.2431 0.2500 0.7170
Cd2 Cd 0.2569 0.7500 0.2170
Cd3 Cd 0.7431 0.2500 0.7830
Cd4 Cd 0.7569 0.7500 0.2830
Te1 Te 0.0491 0.2500 0.6124
Te2 Te 0.0675 0.7500 0.1081
Te3 Te 0.2429 0.7500 0.8327
Te4 Te 0.2571 0.2500 0.3327
Te5 Te 0.4325 0.2500 0.6081
Te6 Te 0.4509 0.7500 0.1124
Te7 Te 0.5491 0.2500 0.8876
Te8 Te 0.5675 0.7500 0.3919
Te9 Te 0.7429 0.7500 0.6673
Te10 Te 0.7571 0.2500 0.1673
Te11 Te 0.9325 0.2500 0.8919
Te12 Te 0.9509 0.7500 0.3876
```

***

(2)
Density functional theory data (PBE) for a relaxed PrTlCdTe3 crystal.

Summary:
E above lowest polymorph = 2.94 kJ/mol of atoms
Spin magnetization = 0.0 μB per formula unit
Crystal system = orthorhombic

```
data_PrTlCdTe3
_chemical_formula_sum 'Pr4 Tl4 Cd4 Te12'
_symmetry_space_group_name_H-M 'P 1'
_symmetry_Int_Tables_number 1
_cell_length_a 12.8426
_cell_length_b 4.7147
_cell_length_c 13.5326
_cell_angle_alpha 90.00
_cell_angle_beta 90.00
_cell_angle_gamma 90.00
loop_
_symmetry_equiv_pos_as_xyz
'x,y,z'
loop_
_atom_site_label
_atom_site_type_symbol
_atom_site_fract_x
_atom_site_fract_y
_atom_site_fract_z
Pr1 Pr 0.0242 0.2500 0.1833
Pr2 Pr 0.4758 0.7500 0.6833
Pr3 Pr 0.5242 0.2500 0.3167
Pr4 Pr 0.9758 0.7500 0.8167
Tl1 Tl 0.1797 0.2500 0.4900
Tl2 Tl 0.3203 0.7500 0.9900
Tl3 Tl 0.6797 0.2500 0.0100
Tl4 Tl 0.8203 0.7500 0.5100
Cd1 Cd 0.2456 0.7500 0.2963
Cd2 Cd 0.2544 0.2500 0.7963
Cd3 Cd 0.7456 0.7500 0.2037
Cd4 Cd 0.7544 0.2500 0.7037
Te1 Te 0.0330 0.7500 0.3504
Te2 Te 0.0930 0.2500 0.9392
Te3 Te 0.2203 0.7500 0.6791
Te4 Te 0.2797 0.2500 0.1791
Te5 Te 0.4070 0.7500 0.4392
Te6 Te 0.4670 0.2500 0.8504
Te7 Te 0.5330 0.7500 0.1496
Te8 Te 0.5930 0.2500 0.5608
Te9 Te 0.7203 0.7500 0.8209
Te10 Te 0.7797 0.2500 0.3209
Te11 Te 0.9070 0.7500 0.0608
Te12 Te 0.9670 0.2500 0.6496
```

***

(3)
Density functional theory data (PBE) for a relaxed PrTlCdTe3 crystal.

Summary:
E above lowest polymorph = 5.68 kJ/mol of atoms
Spin magnetization = 0.0 μB per formula unit
Crystal system = orthorhombic

```
data_PrTlCdTe3
_chemical_formula_sum 'Pr4 Tl4 Cd4 Te12'
_symmetry_space_group_name_H-M 'P 1'
_symmetry_Int_Tables_number 1
_cell_length_a 8.8835
_cell_length_b 4.7625
_cell_length_c 18.9072
_cell_angle_alpha 90.00
_cell_angle_beta 90.00
_cell_angle_gamma 90.00
loop_
_symmetry_equiv_pos_as_xyz
'x,y,z'
loop_
_atom_site_label
_atom_site_type_symbol
_atom_site_fract_x
_atom_site_fract_y
_atom_site_fract_z
Pr1 Pr 0.2295 0.2500 0.0415
Pr2 Pr 0.2705 0.7500 0.5415
Pr3 Pr 0.7295 0.2500 0.4585
Pr4 Pr 0.7705 0.7500 0.9585
Tl1 Tl 0.0569 0.2500 0.8023
Tl2 Tl 0.4431 0.7500 0.3023
Tl3 Tl 0.5569 0.2500 0.6977
Tl4 Tl 0.9431 0.7500 0.1977
Cd1 Cd 0.0754 0.2500 0.3406
Cd2 Cd 0.4246 0.7500 0.8406
Cd3 Cd 0.5754 0.2500 0.1594
Cd4 Cd 0.9246 0.7500 0.6594
Te1 Te 0.0051 0.2500 0.5786
Te2 Te 0.1303 0.7500 0.9376
Te3 Te 0.2324 0.2500 0.2105
Te4 Te 0.2676 0.7500 0.7105
Te5 Te 0.3697 0.2500 0.4376
Te6 Te 0.4949 0.7500 0.0786
Te7 Te 0.5051 0.2500 0.9214
Te8 Te 0.6303 0.7500 0.5624
Te9 Te 0.7324 0.2500 0.2895
Te10 Te 0.7676 0.7500 0.7895
Te11 Te 0.8697 0.2500 0.0624
Te12 Te 0.9949 0.7500 0.4214
```

***

(4)
Density functional theory data (PBE) for a relaxed PrThCd crystal.

Summary:
E above lowest polymorph = 0.00 kJ/mol of atoms
Energy relative to the elements = 0.631 eV/atom
Spin magnetization = 0.9 μB per formula unit
Crystal system = cubic

```
data_PrThCd
_chemical_formula_sum 'Pr1 Th1 Cd1'
_symmetry_space_group_name_H-M 'P 1'
_symmetry_Int_Tables_number 1
_cell_length_a 5.2280
_cell_length_b 5.2280
_cell_length_c 5.2280
_cell_angle_alpha 60.00
_cell_angle_beta 60.00
_cell_angle_gamma 60.00
loop_
_symmetry_equiv_pos_as_xyz
'x,y,z'
loop_
_atom_site_label
_atom_site_type_symbol
_atom_site_fract_x
_atom_site_fract_y
_atom_site_fract_z
Pr1 Pr 0.0000 0.0000 0.0000
Th1 Th 0.7500 0.7500 0.7500
Cd1 Cd 0.5000 0.5000 0.5000
```

***

(5)
Density functional theory data (PBE) for a relaxed PrTm2Tl2Cd4 crystal.

Summary:
Spin magnetization = 0.0 μB per formula unit
Electronic total energy = -24.863 eV/f.u.
Crystal system = orthorhombic

```
data_PrTm2Tl2Cd4
_chemical_formula_sum 'Pr1 Tm2 Tl2 Cd4'
_symmetry_space_group_name_H-M 'P 1'
_symmetry_Int_Tables_number 1
_cell_length_a 4.6069
_cell_length_b 7.6107
_cell_length_c 7.6107
_cell_angle_alpha 121.05
_cell_angle_beta 90.00
_cell_angle_gamma 90.00
loop_
_symmetry_equiv_pos_as_xyz
'x,y,z'
loop_
_atom_site_label
_atom_site_type_symbol
_atom_site_fract_x
_atom_site_fract_y
_atom_site_fract_z
Pr1 Pr 0.0000 0.0000 0.0000
Tm1 Tm 0.0000 0.4235 0.8515
Tm2 Tm 0.0000 0.8515 0.4235
Tl1 Tl 0.5000 0.0957 0.7529
Tl2 Tl 0.5000 0.7529 0.0957
Cd1 Cd 0.0000 0.4385 0.4385
Cd2 Cd 0.5000 0.1891 0.4258
Cd3 Cd 0.5000 0.4258 0.1891
Cd4 Cd 0.5000 0.6690 0.6690
```

***

(6)
Density functional theory data (PBE) for a relaxed PrTm2Tl2Zn3Cd crystal.

Summary:
Spin magnetization = 0.0 μB per formula unit
Electronic total energy = -25.686 eV/f.u.
Crystal system = orthorhombic

```
data_PrTm2Tl2Zn3Cd
_chemical_formula_sum 'Pr1 Tm2 Tl2 Zn3 Cd1'
_symmetry_space_group_name_H-M 'P 1'
_symmetry_Int_Tables_number 1
_cell_length_a 4.5737
_cell_length_b 7.3156
_cell_length_c 7.3156
_cell_angle_alpha 121.31
_cell_angle_beta 90.00
_cell_angle_gamma 90.00
loop_
_symmetry_equiv_pos_as_xyz
'x,y,z'
loop_
_atom_site_label
_atom_site_type_symbol
_atom_site_fract_x
_atom_site_fract_y
_atom_site_fract_z
Pr1 Pr 0.0000 0.0000 0.0000
Tm1 Tm 0.0000 0.4243 0.8534
Tm2 Tm 0.0000 0.8534 0.4243
Tl1 Tl 0.5000 0.0973 0.7530
Tl2 Tl 0.5000 0.7530 0.0973
Zn1 Zn 0.5000 0.2005 0.4276
Zn2 Zn 0.5000 0.4276 0.2005
Zn3 Zn 0.5000 0.6610 0.6610
Cd1 Cd 0.0000 0.4428 0.4428
```

***

Copy entry 5 word for word.
Density functional theory data (PBE) for a relaxed PrTm2Tl2Cd4 crystal.

Summary:
Spin magnetization = 0.0 μB per formula unit
Electronic total energy = -24.863 eV/f.u.
Crystal system = orthorhombic

```
data_PrTm2Tl2Cd4
_chemical_formula_sum 'Pr1 Tm2 Tl2 Cd4'
_symmetry_space_group_name_H-M 'P 1'
_symmetry_Int_Tables_number 1
_cell_length_a 4.6069
_cell_length_b 7.6107
_cell_length_c 7.6107
_cell_angle_alpha 121.05
_cell_angle_beta 90.00
_cell_angle_gamma 90.00
loop_
_symmetry_equiv_pos_as_xyz
'x,y,z'
loop_
_atom_site_label
_atom_site_type_symbol
_atom_site_fract_x
_atom_site_fract_y
_atom_site_fract_z
Pr1 Pr 0.0000 0.0000 0.0000
Tm1 Tm 0.0000 0.4235 0.8515
Tm2 Tm 0.0000 0.8515 0.4235
Tl1 Tl 0.5000 0.0957 0.7529
Tl2 Tl 0.5000 0.7529 0.0957
Cd1 Cd 0.0000 0.4385 0.4385
Cd2 Cd 0.5000 0.1891 0.4258
Cd3 Cd 0.5000 0.4258 0.1891
Cd4 Cd 0.5000 0.6690 0.6690
```

***

Question: What is the spin magnetization in the fourth record?
Answer: 0.9 μB per formula unit

***

What did the second record say?
Density functional theory data (PBE) for a relaxed PrTlCdTe3 crystal.

Summary:
E above lowest polymorph = 2.94 kJ/mol of atoms
Spin magnetization = 0.0 μB per formula unit
Crystal system = orthorhombic

```
data_PrTlCdTe3
_chemical_formula_sum 'Pr4 Tl4 Cd4 Te12'
_symmetry_space_group_name_H-M 'P 1'
_symmetry_Int_Tables_number 1
_cell_length_a 12.8426
_cell_length_b 4.7147
_cell_length_c 13.5326
_cell_angle_alpha 90.00
_cell_angle_beta 90.00
_cell_angle_gamma 90.00
loop_
_symmetry_equiv_pos_as_xyz
'x,y,z'
loop_
_atom_site_label
_atom_site_type_symbol
_atom_site_fract_x
_atom_site_fract_y
_atom_site_fract_z
Pr1 Pr 0.0242 0.2500 0.1833
Pr2 Pr 0.4758 0.7500 0.6833
Pr3 Pr 0.5242 0.2500 0.3167
Pr4 Pr 0.9758 0.7500 0.8167
Tl1 Tl 0.1797 0.2500 0.4900
Tl2 Tl 0.3203 0.7500 0.9900
Tl3 Tl 0.6797 0.2500 0.0100
Tl4 Tl 0.8203 0.7500 0.5100
Cd1 Cd 0.2456 0.7500 0.2963
Cd2 Cd 0.2544 0.2500 0.7963
Cd3 Cd 0.7456 0.7500 0.2037
Cd4 Cd 0.7544 0.2500 0.7037
Te1 Te 0.0330 0.7500 0.3504
Te2 Te 0.0930 0.2500 0.9392
Te3 Te 0.2203 0.7500 0.6791
Te4 Te 0.2797 0.2500 0.1791
Te5 Te 0.4070 0.7500 0.4392
Te6 Te 0.4670 0.2500 0.8504
Te7 Te 0.5330 0.7500 0.1496
Te8 Te 0.5930 0.2500 0.5608
Te9 Te 0.7203 0.7500 0.8209
Te10 Te 0.7797 0.2500 0.3209
Te11 Te 0.9070 0.7500 0.0608
Te12 Te 0.9670 0.2500 0.6496
```

***

Question: Which value of spin magnetization does entry 1 give?
Answer: 0.0 μB per formula unit